The following is a DFT calculation (PBE) of a relaxed structure of BaTh2S5.

abc: 7.6943 8.6717 12.1976
angles: 89.66 90.00 90.00
Atoms (fractional coordinates):
Th  0.4816  0.9977  0.8210
S  0.6589  0.9601  0.3980
S  0.9498  0.2091  0.4976
S  0.6919  0.2259  0.7149
S  0.6743  0.5355  0.4222
S  0.1743  0.4645  0.0778
S  0.8081  0.2259  0.2149
S  0.3411  0.0399  0.6020
S  0.1669  0.2145  0.8135
Th  0.5682  0.2470  0.4918
Ba  0.4504  0.4902  0.8315
Th  0.0682  0.7530  0.0082
Th  0.9816  0.0023  0.6790
Ba  0.9504  0.5098  0.6685
S  0.3257  0.4645  0.5778
S  0.1919  0.7741  0.7851
S  0.3331  0.2145  0.3135
S  0.8257  0.5355  0.9222
Ba  0.0496  0.4902  0.3315
S  0.0502  0.7909  0.5024
Th  0.4318  0.7530  0.5082
S  0.3081  0.7741  0.2851
S  0.6669  0.7855  0.6865
Th  0.0184  0.9977  0.3210
Th  0.5184  0.0023  0.1790
S  0.8331  0.7855  0.1865
S  0.4498  0.7909  0.0024
Ba  0.5496  0.5098  0.1685
S  0.8411  0.9601  0.8980
Th  0.9318  0.2470  0.9918
S  0.5502  0.2091  0.9976
S  0.1589  0.0399  0.1020

DFT total energy (eV per atom): -6.748
ΔE_f (raw) (kJ/mol of formula units): -1600
Space-group type: P2_1/c
Magnetic moment (μB/atom): 0.000